Record 1
Compound: LaSb
Source: Alexandria via LeMat-Bulk
Functional: PBE
Structure: relaxed

Results
For the total magnetization, the calculation gives 0.0 μB/f.u. The value obtained for the uncorrected formation energy is -0.73 eV per atom. Its space group is F-43m (216). Its crystal system is cubic.

abc: 5.1446 5.1446 5.1446
angles: 60.00 60.00 60.00
Last column: nearest neighbours and their distance in Å.
Sites, in units of the cell vectors:
La 0.0000 0.0000 0.0000  4 Sb 3.15
Sb 0.2500 0.2500 0.2500  4 La 3.15


Record 2
Compound: Tb3Ce5P8
Source: Alexandria via LeMat-Bulk
Functional: PBE
Structure: relaxed

Results
The density of states at the Fermi level comes out at 23.2 states/eV/cell. For the total magnetization, the calculation gives 2.7 μB/f.u. Its space group is R-3m (166). The formation energy comes out at -1.542 eV/atom. Its crystal system is trigonal.

abc: 8.1270 8.1270 8.1270
angles: 60.05 60.05 60.05
Last column: nearest neighbours and their distance in Å.
Sites, in units of the cell vectors:
Tb 0.0000 0.5000 0.5000  6 P 2.87
Tb 0.5000 0.0000 0.5000  6 P 2.87
Tb 0.5000 0.5000 0.0000  6 P 2.87
Ce 0.0000 0.0000 0.0000  6 P 2.87
Ce 0.0000 0.0000 0.5000  6 P 2.88
Ce 0.0000 0.5000 0.0000  6 P 2.88
Ce 0.5000 0.0000 0.0000  6 P 2.88
Ce 0.5000 0.5000 0.5000  6 P 2.87
P 0.2504 0.2504 0.2504  3 Tb 2.87, 3 Ce 2.88
P 0.2500 0.2500 0.7484  2 Tb 2.87, 4 Ce 2.87-2.88
P 0.2500 0.7484 0.2500  2 Tb 2.87, 4 Ce 2.87-2.88
P 0.2516 0.7500 0.7500  2 Tb 2.87, 4 Ce 2.87-2.88
P 0.7484 0.2500 0.2500  2 Tb 2.87, 4 Ce 2.87-2.88
P 0.7500 0.2516 0.7500  2 Tb 2.87, 4 Ce 2.87-2.88
P 0.7500 0.7500 0.2516  2 Tb 2.87, 4 Ce 2.87-2.88
P 0.7496 0.7496 0.7496  3 Tb 2.87, 3 Ce 2.88


Record 3
Compound: Sc5O
Source: Alexandria via LeMat-Bulk
Functional: PBE
Structure: relaxed

Results
The density of states at the Fermi level comes out at 9.8 states/eV/cell. For the total magnetization, the calculation gives 0.0 μB/f.u. The value obtained for the uncorrected formation energy is -0.40 eV per atom. Its space group is Cmmm (65). For the polymorph energy (0 for the lowest one), the calculation gives 519.0 meV per atom. Its crystal system is orthorhombic.

abc: 8.3732 8.3732 5.7295
angles: 90.00 90.00 159.13
Last column: nearest neighbours and their distance in Å.
Sites, in units of the cell vectors:
Sc 0.0000 0.0000 0.0000  10 Sc 3.03-3.25, 4 O 3.24
Sc 0.0929 0.9071 0.5000  2 O 2.15
Sc 0.3338 0.6662 0.0000  6 Sc 3.03-3.15
Sc 0.6662 0.3338 0.0000  6 Sc 3.03-3.15
Sc 0.9071 0.0929 0.5000  2 O 2.15
O 0.5000 0.5000 0.5000  4 Sc 2.15


Record 4
Compound: TeSe5
Source: Alexandria via LeMat-Bulk
Functional: PBE
Structure: relaxed

Results
The density of states at the Fermi level comes out at 8.1 states/eV/cell. For the total magnetization, the calculation gives 2.0 μB/f.u. The value obtained for the uncorrected formation energy is 0.54 eV per atom. Its space group is P6/mmm (191). For the polymorph energy (0 for the lowest one), the calculation gives 373.9 meV per atom. Its crystal system is hexagonal.

abc: 5.2229 5.2229 8.4633
angles: 90.00 90.00 120.00
Last column: nearest neighbours and their distance in Å.
Sites, in units of the cell vectors:
Te 0.0000 0.0000 0.0000  6 Se 3.02
Se 0.0000 0.5000 0.5000  4 Se 2.61
Se 0.3333 0.6667 0.0000  3 Te 3.02, 3 Se 3.02
Se 0.5000 0.0000 0.5000  4 Se 2.61
Se 0.5000 0.5000 0.5000  4 Se 2.61
Se 0.6667 0.3333 0.0000  3 Te 3.02, 3 Se 3.02